VASP calculation (PBE) on SmTmCoCu after structural relaxation.

Unit cell a=3.811 b=4.273 c=5.428 alpha=90.00 beta=110.55 gamma=90.00
Fractional coordinates of all 4 atoms:
Sm1 0.145 0.000 0.289
Co1 0.427 0.000 0.854
Cu1 0.566 0.500 0.131
Tm1 0.863 0.500 0.725

Calculated values
Crystal system = orthorhombic
Size of the total moment = 0.0 μB/f.u.
Energy of formation from the pure elements = -0.19 eV per atom

***

VASP calculation (PBE) on SmTmCoCu after structural relaxation.

Unit cell a=4.830 b=4.830 c=4.830 alpha=60.00 beta=60.00 gamma=60.00
Fractional coordinates of all 4 atoms:
Tm1 0.750 0.750 0.750
Cu1 0.500 0.500 0.500
Co1 0.000 0.000 0.000
Sm1 0.250 0.250 0.250

Calculated values
Crystal system = cubic
Size of the total moment = 0.4 μB/f.u.
Energy of formation from the pure elements = -0.16 eV per atom

***

VASP calculation (PBE) on SmYCoCu after structural relaxation.

Unit cell a=3.853 b=4.238 c=5.554 alpha=90.00 beta=110.29 gamma=90.00
Fractional coordinates of all 4 atoms:
Sm1 0.861 0.500 0.721
Cu1 0.569 0.500 0.137
Co1 0.431 0.000 0.861
Y1 0.140 0.000 0.280

Calculated values
Crystal system = orthorhombic
Size of the total moment = 0.0 μB/f.u.
Energy of formation from the pure elements = -0.18 eV per atom

***

no.,raw total energy (eV/f.u.),energy above the lowest structure with this stoichiometry (meV/atom)
1,-21.159,0
2,-21.042,29
3,-23.094,0